A) DFT (PBE) results for a relaxed structure of CaSmPd2.

Unit cell a=4.1230 b=4.1230 c=20.7753 alpha=90.00 beta=90.00 gamma=120.00
Space group R-3m (No. 166, hexagonal axes)
Inequivalent atoms, fractional coordinates:
Ca  0.0000  0.0000  0.0000 [3 per cell]
Sm  0.0000  0.0000  0.5000 [3 per cell]
Pd  0.0000  0.0000  0.2473 [6 per cell]

Output
- size of the total moment (μB/f.u.) = 0.00

***

B) DFT (PBE) results for a relaxed structure of CaSmPd2.

Unit cell a=4.0423 b=4.0423 c=21.5810 alpha=90.00 beta=90.00 gamma=120.00
Space group R3m (No. 160, hexagonal axes)
Inequivalent atoms, fractional coordinates:
Ca  0.0000  0.0000  0.0000 [3 per cell]
Sm  0.0000  0.0000  0.1714 [3 per cell]
Pd  0.0000  0.0000  0.5856 [3 per cell]
Pd  0.0000  0.0000  0.7543 [3 per cell]

Output
- size of the total moment (μB/f.u.) = 0.00

***

C) DFT (PBE) results for a relaxed structure of CaSmPd2.

Unit cell a=3.563 b=3.563 c=7.126 alpha=90.00 beta=90.00 gamma=90.00
Space group P4/mmm (No. 123)
Inequivalent atoms, fractional coordinates:
Ca  0.000  0.000  0.000 [1 per cell]
Sm  0.000  0.000  0.500 [1 per cell]
Pd  0.500  0.500  0.264 [2 per cell]

Output
- size of the total moment (μB/f.u.) = 0.00

***

In eV/atom, relative to the most stable structure: A) 0.175; B) 0.182; C) 0.000.

***

A) DFT (PBE) results for a relaxed structure of CaSm2Pd.

Unit cell a=3.619 b=3.619 c=9.389 alpha=90.00 beta=90.00 gamma=90.00
Space group P4/mmm (No. 123)
Inequivalent atoms, fractional coordinates:
Ca  0.000  0.000  0.000 [1 per cell]
Sm  0.500  0.500  0.320 [2 per cell]
Pd  0.000  0.000  0.500 [1 per cell]

Output
- size of the total moment (μB/f.u.) = 0.00

***

B) DFT (PBE) results for a relaxed structure of CaSm2Pd.

Unit cell a=4.1342 b=4.1342 c=28.0242 alpha=90.00 beta=90.00 gamma=120.00
Space group R3m (No. 160, hexagonal axes)
Inequivalent atoms, fractional coordinates:
Ca  0.0000  0.0000  0.0000 [3 per cell]
Sm  0.0000  0.0000  0.5546 [3 per cell]
Sm  0.0000  0.0000  0.7758 [3 per cell]
Pd  0.0000  0.0000  0.1648 [3 per cell]

Output
- size of the total moment (μB/f.u.) = 0.00

***

In eV/atom, relative to the most stable structure: A) 0.000; B) 0.058.

***

A) DFT (PBE) results for a relaxed structure of CaSm2Pd.

Unit cell a=3.9995 b=3.9995 c=29.3552 alpha=90.00 beta=90.00 gamma=120.00
Space group R-3m (No. 166, hexagonal axes)
Inequivalent atoms, fractional coordinates:
Ca  0.0000  0.0000  0.0000 [3 per cell]
Sm  0.0000  0.0000  0.2246 [6 per cell]
Pd  0.0000  0.0000  0.5000 [3 per cell]

Output
- size of the total moment (μB/f.u.) = 0.00

***

B) DFT (PBE) results for a relaxed structure of CaSm2Pd.

Unit cell a=7.401 b=9.970 c=6.488 alpha=90.00 beta=90.00 gamma=90.00
Space group Pnma (No. 62)
Inequivalent atoms, fractional coordinates:
Ca  0.031  0.250  0.135 [4 per cell]
Sm  0.177  0.060  0.668 [8 per cell]
Pd  0.111  0.750  0.418 [4 per cell]

Output
- size of the total moment (μB/f.u.) = 0.00

***

C) DFT (PBE) results for a relaxed structure of CaSm2Pd.

Unit cell a=4.034 b=12.382 c=9.553 alpha=90.00 beta=90.00 gamma=90.00
Space group Cmcm (No. 63)
Inequivalent atoms, fractional coordinates:
Ca  0.000  0.068  0.250 [4 per cell]
Sm  0.000  0.358  0.059 [8 per cell]
Pd  0.000  0.233  0.750 [4 per cell]

Output
- size of the total moment (μB/f.u.) = 0.00

***

In eV/atom, relative to the most stable structure: A) 0.131; B) 0.000; C) 0.019.

***

A) DFT (PBE) results for a relaxed structure of CaSm3Pd.

Unit cell a=5.641 b=5.641 c=5.641 alpha=90.00 beta=90.00 gamma=90.00
Space group Pm-3m (No. 221)
Inequivalent atoms, fractional coordinates:
Ca  0.000  0.000  0.000 [1 per cell]
Sm  0.000  0.500  0.500 [3 per cell]
Pd  0.500  0.500  0.500 [1 per cell]

Output
- size of the total moment (μB/f.u.) = 0.97

***

B) DFT (PBE) results for a relaxed structure of CaSm3Pd.

Unit cell a=7.8480 b=7.8480 c=6.2093 alpha=90.00 beta=90.00 gamma=120.00
Space group P6_3/mmc (No. 194)
Inequivalent atoms, fractional coordinates:
Ca  0.3333  0.6667  0.2500 [2 per cell]
Sm  0.1785  0.3570  0.7500 [6 per cell]
Pd  0.0000  0.0000  0.0000 [2 per cell]

Output
- size of the total moment (μB/f.u.) = 0.82

***

In eV/atom, relative to the most stable structure: A) 0.054; B) 0.000.

***

A) DFT (PBE) results for a relaxed structure of CaSn2Pd4.

Unit cell a=16.174 b=4.428 c=7.640 alpha=90.00 beta=90.00 gamma=90.00
Space group Pnma (No. 62)
Inequivalent atoms, fractional coordinates:
Ca  0.150  0.250  0.085 [4 per cell]
Sn  0.023  0.750  0.246 [4 per cell]
Sn  0.188  0.250  0.660 [4 per cell]
Pd  0.045  0.750  0.895 [4 per cell]
Pd  0.054  0.250  0.442 [4 per cell]
Pd  0.170  0.750  0.436 [4 per cell]
Pd  0.223  0.750  0.852 [4 per cell]

Output
- size of the total moment (μB/f.u.) = 0.00

***

B) DFT (PBE) results for a relaxed structure of CaSn2Pd4.

Unit cell a=4.977 b=4.977 c=13.574 alpha=90.00 beta=90.00 gamma=90.00
Space group I4/mmm (No. 139)
Inequivalent atoms, fractional coordinates:
Ca  0.000  0.000  0.000 [2 per cell]
Sn  0.000  0.000  0.387 [4 per cell]
Pd  0.000  0.000  0.198 [4 per cell]
Pd  0.000  0.500  0.000 [4 per cell]

Output
- size of the total moment (μB/f.u.) = 0.00

***

C) DFT (PBE) results for a relaxed structure of CaSn2Pd4.

Unit cell a=8.070 b=8.070 c=4.273 alpha=90.00 beta=90.00 gamma=90.00
Space group P4_2/mnm (No. 136)
Inequivalent atoms, fractional coordinates:
Ca  0.000  0.000  0.000 [2 per cell]
Sn  0.221  0.221  0.500 [4 per cell]
Pd  0.088  0.656  0.500 [8 per cell]

Output
- size of the total moment (μB/f.u.) = 0.00

***

In eV/atom, relative to the most stable structure: A) 0.000; B) 0.822; C) 0.022.

***

A) DFT (PBE) results for a relaxed structure of CaSnPd6.

Unit cell a=5.4786 b=5.4786 c=20.5837 alpha=90.00 beta=90.00 gamma=120.00
Space group R-3m (No. 166, hexagonal axes)
Inequivalent atoms, fractional coordinates:
Ca  0.0000  0.0000  0.0000 [3 per cell]
Sn  0.0000  0.0000  0.5000 [3 per cell]
Pd  0.0067  0.5034  0.9341 [18 per cell]

Output
- size of the total moment (μB/f.u.) = 0.00

***

B) DFT (PBE) results for a relaxed structure of CaSnPd6.

Unit cell a=5.8068 b=5.8068 c=4.6484 alpha=90.00 beta=90.00 gamma=120.00
Space group P-6m2 (No. 187)
Inequivalent atoms, fractional coordinates:
Ca  0.0000  0.0000  0.0000 [1 per cell]
Sn  0.6667  0.3333  0.5000 [1 per cell]
Pd  0.0002  0.5001  0.0000 [3 per cell]
Pd  0.1717  0.3435  0.5000 [3 per cell]

Output
- size of the total moment (μB/f.u.) = 0.00

***

In eV/atom, relative to the most stable structure: A) 0.336; B) 0.000.